w:
Crystalline Sr2BeIn at its relaxed geometry. Source: Alexandria, functional GGA-PBEsol.

Properties
Total moment ... 0.00 μB/f.u.

a b c (Å): 3.7910 3.7910 7.9711
angles (deg): 90.00 90.00 90.00
Space group P4/mmm (No. 123)
Inequivalent atoms, fractional coordinates:
Sr 0.0000 0.0000 0.2278 (multiplicity 2)
Be 0.5000 0.5000 0.0000 (multiplicity 1)
In 0.5000 0.5000 0.5000 (multiplicity 1)



x:
Crystalline Sr2BeIn at its relaxed geometry. Source: Alexandria, functional GGA-PBEsol.

Properties
Total moment ... 0.00 μB/f.u.

a b c (Å): 7.7587 7.7587 7.7587
angles (deg): 90.00 90.00 90.00
Space group Fm-3m (No. 225)
Inequivalent atoms, fractional coordinates:
Sr 0.2500 0.2500 0.2500 (multiplicity 8)
Be 0.0000 0.0000 0.0000 (multiplicity 4)
In 0.0000 0.0000 0.5000 (multiplicity 4)



y:
Crystalline Sr2BeIn at its relaxed geometry. Source: Alexandria, functional GGA-PBEsol.

Properties
Total moment ... 0.00 μB/f.u.

a b c (Å): 3.8585 5.4371 10.7340
angles (deg): 90.00 90.00 90.00
Space group Imm2 (No. 44)
Inequivalent atoms, fractional coordinates:
Sr 0.0000 0.0000 0.0000 (multiplicity 2)
Sr 0.0000 0.5000 0.1911 (multiplicity 2)
Be 0.0000 0.0000 0.4392 (multiplicity 2)
In 0.0000 0.5000 0.7872 (multiplicity 2)



The most stable of them is y.